1.
## Li2PuPO6 (PBE)

Data for crystalline Li2PuPO6 at its relaxed geometry.

Computed properties:
- Electronic total energy: -7.470 eV per atom
- Formation energy (no corrections): -2.139 eV per atom

Cell and atoms, written as POSCAR:
```
Li2PuPO6
1.0
5.299 0.000 0.000
0.000 5.299 0.000
0.000 0.000 4.307
Li Pu P O
2 1 1 6
Direct
0.000 0.500 0.000
0.500 0.000 0.000
0.000 0.000 0.675
0.500 0.500 0.638
0.000 0.000 0.192
0.282 0.282 0.749
0.282 0.718 0.749
0.500 0.500 0.286
0.718 0.282 0.749
0.718 0.718 0.749
```

---

2.
## Eu2TeS (PBE)

Data for crystalline Eu2TeS at its relaxed geometry.

Computed properties:
- Electronic total energy: -8.834 eV per atom
- Formation energy (no corrections): -1.879 eV per atom

Cell and atoms, written as POSCAR:
```
Eu2TeS
1.0
2.186 1.262 7.225
-2.186 1.262 7.225
0.000 -2.524 7.225
Eu Te S
2 1 1
Direct
0.241 0.241 0.241
0.759 0.759 0.759
0.000 0.000 0.000
0.500 0.500 0.500
```

---

3.
## PIrF (PBE)

Data for crystalline PIrF at its relaxed geometry.

Computed properties:
- E above lowest polymorph: 370.2 meV per atom
- Electronic total energy: -6.011 eV per atom
- Formation energy (no corrections): -0.630 eV per atom

Cell and atoms, written as POSCAR:
```
PIrF
1.0
2.557 -1.459 0.000
2.557 1.459 0.000
-0.020 0.000 6.296
P Ir F
1 1 1
Direct
0.000 0.000 0.000
0.332 0.332 0.261
0.332 0.332 0.570
```

---

4.
## BaHfMn3 (PBE)

Data for crystalline BaHfMn3 at its relaxed geometry.

Computed properties:
- E above lowest polymorph: 0.0 meV per atom
- E_form: 0.909 eV per atom
- Electronic total energy: -6.968 eV per atom

Cell and atoms, written as POSCAR:
```
BaHfMn3
1.0
5.115 0.000 0.000
0.000 5.115 0.000
0.000 0.000 5.115
Ba Hf Mn
1 1 3
Direct
0.000 0.000 0.000
0.500 0.500 0.500
0.000 0.500 0.500
0.500 0.000 0.500
0.500 0.500 0.000
```

---

5.
## La7GaPb2N2 (PBE)

Data for crystalline La7GaPb2N2 at its relaxed geometry.

Computed properties:
- Electronic total energy: -5.977 eV per atom
- Formation energy (no corrections): -0.844 eV per atom

Cell and atoms, written as POSCAR:
```
La7GaPb2N2
1.0
-2.535 2.535 13.411
2.535 -2.535 13.411
2.535 2.535 -13.411
La Ga Pb N
7 1 2 2
Direct
0.000 0.000 0.000
0.091 0.591 0.500
0.193 0.193 0.000
0.409 0.909 0.500
0.591 0.091 0.500
0.807 0.807 0.000
0.909 0.409 0.500
0.500 0.500 0.000
0.320 0.320 0.000
0.680 0.680 0.000
0.099 0.099 0.000
0.901 0.901 0.000
```

---

6.
## Nd6Sm2DyTm (PBE)

Data for crystalline Nd6Sm2DyTm at its relaxed geometry.

Computed properties:
- E_form: 0.115 eV per atom
- Electronic total energy: -4.597 eV per atom

Cell and atoms, written as POSCAR:
```
Nd6Sm2DyTm
1.0
4.622 -7.703 0.000
4.622 7.703 0.000
-1.346 0.000 9.655
Nd Sm Dy Tm
12 4 2 2
Direct
0.012 0.570 0.190
0.121 0.758 0.554
0.242 0.879 0.946
0.291 0.504 0.382
0.430 0.988 0.310
0.496 0.709 0.118
0.504 0.291 0.882
0.570 0.012 0.690
0.709 0.496 0.618
0.758 0.121 0.054
0.879 0.242 0.446
0.988 0.430 0.810
0.199 0.298 0.044
0.298 0.199 0.544
0.702 0.801 0.456
0.801 0.702 0.956
0.023 0.977 0.250
0.977 0.023 0.750
0.410 0.590 0.750
0.590 0.410 0.250
```

---

7.
## Pa11Ga9Re4 (PBE)

Data for crystalline Pa11Ga9Re4 at its relaxed geometry.

Computed properties:
- E_form: -0.241 eV per atom
- Electronic total energy: -7.803 eV per atom

Cell and atoms, written as POSCAR:
```
Pa11Ga9Re4
1.0
6.540 -9.824 0.000
6.540 9.824 0.000
0.000 0.000 3.983
Pa Ga Re
11 9 4
Direct
0.000 0.000 0.000
0.064 0.416 0.000
0.162 0.838 0.000
0.298 0.298 0.000
0.369 0.631 0.000
0.416 0.064 0.000
0.584 0.936 0.000
0.631 0.369 0.000
0.702 0.702 0.000
0.838 0.162 0.000
0.936 0.584 0.000
0.062 0.214 0.500
0.155 0.633 0.500
0.214 0.062 0.500
0.367 0.845 0.500
0.500 0.500 0.500
0.633 0.155 0.500
0.786 0.938 0.500
0.845 0.367 0.500
0.938 0.786 0.500
0.248 0.448 0.500
0.448 0.248 0.500
0.552 0.752 0.500
0.752 0.552 0.500
```

---

The calculation returns the following Fermi-level density of states values, one per record and in order: 7.196 18.503 0.492 3.192 6.608 28.211 32.457 states/eV per cell.